A plane-wave DFT calculation with PBE was carried out for a relaxed SiMo2Ru crystal.

Summary:
As for the symmetry: I-42d. As for the uncorrected formation energy: 35.9 kJ/mol of atoms. The calculation puts the density at 8.5 Mg/m³. The value obtained for the total magnetization is 0.0 μB per cell.

```
data_SiMo2Ru
_cell_length_a 3.658
_cell_length_b 3.658
_cell_length_c 9.748
_cell_angle_alpha 79.19
_cell_angle_beta 79.19
_cell_angle_gamma 90.00
_space_group_name_H-M_alt 'P 1'
_space_group_IT_number 1
loop_
_space_group_symop_operation_xyz
'x,y,z'
loop_
_atom_site_label
_atom_site_type_symbol
_atom_site_fract_x
_atom_site_fract_y
_atom_site_fract_z
Ru1 Ru 0.000 0.000 0.000
Ru2 Ru 0.750 0.250 0.500
Mo1 Mo 0.145 0.625 0.250
Mo2 Mo 0.375 0.395 0.750
Mo3 Mo 0.605 0.125 0.250
Mo4 Mo 0.875 0.855 0.750
Si1 Si 0.250 0.750 0.500
Si2 Si 0.500 0.500 0.000
```